No. 1
VASP calculation (PBE) on crystalline CrTc2Sn2 at its relaxed geometry.

Computed properties:
Total magnetic moment = 0.00 μB per cell
Crystal system = tetragonal
DOS(E_F) = 6.03 states/eV/f.u.
V = 176.65 Å³ per cell
Formation energy from the elements = 390 meV/atom
E_tot = -7.28 eV/atom

CIF file:
```
data_CrTc2Sn2
_chemical_formula_sum 'Cr2 Tc4 Sn4'
_symmetry_space_group_name_H-M 'P 4/m b m'
_symmetry_Int_Tables_number 127
_symmetry_space_group_name_Hall '-P 4 2ab'
_cell_length_a 6.457
_cell_length_b 6.457
_cell_length_c 4.237
_cell_angle_alpha 90.00
_cell_angle_beta 90.00
_cell_angle_gamma 90.00
loop_
_atom_site_label
_atom_site_fract_x
_atom_site_fract_y
_atom_site_fract_z
Cr1 0.000 0.000 0.000
Tc1 0.140 0.360 0.000
Sn1 0.172 0.672 0.500
```



No. 2
VASP calculation (PBE) on crystalline Tb2ErGa9 at its relaxed geometry.

Computed properties:
Total magnetic moment = 0.00 μB per cell
Crystal system = tetragonal
DOS(E_F) = 4.35 states/eV/f.u.
V = 233.99 Å³ per cell
Formation energy from the elements = -536 meV/atom
E_tot = -3.96 eV/atom

CIF file:
```
data_Tb2ErGa9
_chemical_formula_sum 'Tb2 Er1 Ga9'
_symmetry_space_group_name_H-M 'P 4/m m m'
_symmetry_Int_Tables_number 123
_symmetry_space_group_name_Hall '-P 4 2'
_cell_length_a 4.273
_cell_length_b 4.273
_cell_length_c 12.816
_cell_angle_alpha 90.00
_cell_angle_beta 90.00
_cell_angle_gamma 90.00
loop_
_atom_site_label
_atom_site_fract_x
_atom_site_fract_y
_atom_site_fract_z
Tb1 0.000 0.000 0.167
Er1 0.000 0.000 0.500
Ga1 0.000 0.500 0.000
Ga2 0.000 0.500 0.335
Ga3 0.500 0.500 0.167
Ga4 0.500 0.500 0.500
```



No. 3
VASP calculation (PBE) on crystalline ZnSb2IN at its relaxed geometry.

Computed properties:
Total magnetic moment = 0.00 μB per cell
Excess energy over the best structure of this formula in the dataset = 0.842 eV/atom
Crystal system = tetragonal
DOS(E_F) = 7.84 states/eV/f.u.
V = 144.38 Å³ per cell
E_tot = -2.21 eV/atom
Formation energy (no corrections) = 1.67 eV/atom

CIF file:
```
data_ZnSb2IN
_chemical_formula_sum 'Zn1 Sb2 I1 N1'
_symmetry_space_group_name_H-M 'P 4/m m m'
_symmetry_Int_Tables_number 123
_symmetry_space_group_name_Hall '-P 4 2'
_cell_length_a 5.226
_cell_length_b 5.226
_cell_length_c 5.286
_cell_angle_alpha 90.00
_cell_angle_beta 90.00
_cell_angle_gamma 90.00
loop_
_atom_site_label
_atom_site_fract_x
_atom_site_fract_y
_atom_site_fract_z
Zn1 0.000 0.000 0.000
Sb1 0.000 0.500 0.000
I1 0.000 0.000 0.500
N1 0.500 0.500 0.500
```



No. 4
VASP calculation (PBE) on crystalline CaSm6Er6 at its relaxed geometry.

Computed properties:
Total magnetic moment = 0.00 μB per cell
Crystal system = monoclinic
DOS(E_F) = 18.36 states/eV/f.u.
V = 445.52 Å³ per cell
Formation energy from the elements = 216 meV/atom
E_tot = -4.22 eV/atom

CIF file:
```
data_CaSm6Er6
_chemical_formula_sum 'Ca1 Sm6 Er6'
_symmetry_space_group_name_H-M 'P 1 2/m 1'
_symmetry_Int_Tables_number 10
_symmetry_space_group_name_Hall '-P 2y'
_cell_length_a 6.669
_cell_length_b 11.136
_cell_length_c 6.673
_cell_angle_alpha 90.00
_cell_angle_beta 115.97
_cell_angle_gamma 90.00
loop_
_atom_site_label
_atom_site_fract_x
_atom_site_fract_y
_atom_site_fract_z
Ca1 0.000 0.000 0.000
Sm1 0.000 0.337 0.000
Sm2 0.272 0.500 0.729
Sm3 0.357 0.000 0.640
Er1 0.000 0.230 0.500
Er2 0.500 0.229 0.000
Er3 0.500 0.295 0.500
```



No. 5
VASP calculation (PBE) on crystalline K2LaCl at its relaxed geometry.

Computed properties:
Total magnetic moment = 0.96 μB per cell
Excess energy over the best structure of this formula in the dataset = 0.529 eV/atom
Crystal system = tetragonal
DOS(E_F) = 5.02 states/eV/f.u.
V = 160.30 Å³ per cell
E_tot = -2.41 eV/atom
Formation energy (no corrections) = -0.17 eV/atom

CIF file:
```
data_K2LaCl
_chemical_formula_sum 'K2 La1 Cl1'
_symmetry_space_group_name_H-M 'P 4/m m m'
_symmetry_Int_Tables_number 123
_symmetry_space_group_name_Hall '-P 4 2'
_cell_length_a 4.664
_cell_length_b 4.664
_cell_length_c 7.371
_cell_angle_alpha 90.00
_cell_angle_beta 90.00
_cell_angle_gamma 90.00
loop_
_atom_site_label
_atom_site_fract_x
_atom_site_fract_y
_atom_site_fract_z
K1 0.000 0.500 0.000
La1 0.000 0.000 0.500
Cl1 0.500 0.500 0.500
```



No. 6
VASP calculation (PBE) on crystalline AgSn2Bi at its relaxed geometry.

Computed properties:
Total magnetic moment = 0.00 μB per cell
Crystal system = tetragonal
DOS(E_F) = 0.99 states/eV/f.u.
V = 576.79 Å³ per cell
Formation energy from the elements = 219 meV/atom
E_tot = -3.47 eV/atom

CIF file:
```
data_AgSn2Bi
_chemical_formula_sum 'Ag4 Sn8 Bi4'
_symmetry_space_group_name_H-M 'I -4 2 d'
_symmetry_Int_Tables_number 122
_symmetry_space_group_name_Hall 'I -4 2bw'
_cell_length_a 6.659
_cell_length_b 6.659
_cell_length_c 13.006
_cell_angle_alpha 90.00
_cell_angle_beta 90.00
_cell_angle_gamma 90.00
loop_
_atom_site_label
_atom_site_fract_x
_atom_site_fract_y
_atom_site_fract_z
Ag1 0.000 0.000 0.000
Sn1 0.214 0.250 0.125
Bi1 0.000 0.000 0.500
```



No. 7
VASP calculation (PBE) on crystalline TmCdAgRu at its relaxed geometry.

Computed properties:
Total magnetic moment = 0.00 μB per cell
Crystal system = cubic
DOS(E_F) = 1.18 states/eV/f.u.
V = 307.02 Å³ per cell
Formation energy from the elements = -108 meV/atom
E_tot = -4.49 eV/atom

CIF file:
```
data_TmCdAgRu
_chemical_formula_sum 'Tm4 Cd4 Ag4 Ru4'
_symmetry_space_group_name_H-M 'F -4 3 m'
_symmetry_Int_Tables_number 216
_symmetry_space_group_name_Hall 'F -4 2 3'
_cell_length_a 6.746
_cell_length_b 6.746
_cell_length_c 6.746
_cell_angle_alpha 90.00
_cell_angle_beta 90.00
_cell_angle_gamma 90.00
loop_
_atom_site_label
_atom_site_fract_x
_atom_site_fract_y
_atom_site_fract_z
Tm1 0.000 0.000 0.000
Cd1 0.000 0.000 0.500
Ag1 0.250 0.250 0.250
Ru1 0.250 0.250 0.750
```



No. 8
VASP calculation (PBE) on crystalline Ni4As2Pt at its relaxed geometry.

Computed properties:
Total magnetic moment = 0.00 μB per cell
Crystal system = orthorhombic
DOS(E_F) = 3.07 states/eV/f.u.
V = 365.90 Å³ per cell
Formation energy from the elements = -214 meV/atom
E_tot = -5.71 eV/atom

CIF file:
```
data_Ni4As2Pt
_chemical_formula_sum 'Ni16 As8 Pt4'
_symmetry_space_group_name_H-M 'P n m a'
_symmetry_Int_Tables_number 62
_symmetry_space_group_name_Hall '-P 2ac 2n'
_cell_length_a 16.116
_cell_length_b 3.777
_cell_length_c 6.011
_cell_angle_alpha 90.00
_cell_angle_beta 90.00
_cell_angle_gamma 90.00
loop_
_atom_site_label
_atom_site_fract_x
_atom_site_fract_y
_atom_site_fract_z
Ni1 0.053 0.250 0.157
Ni2 0.056 0.750 0.503
Ni3 0.167 0.250 0.538
Ni4 0.228 0.250 0.111
As1 0.047 0.250 0.766
As2 0.181 0.750 0.300
Pt1 0.145 0.750 0.890
```



No. 9
VASP calculation (PBE) on crystalline NaVSN2 at its relaxed geometry.

Computed properties:
Total magnetic moment = 0.71 μB per cell
Excess energy over the best structure of this formula in the dataset = 2.528 eV/atom
Crystal system = tetragonal
DOS(E_F) = 7.43 states/eV/f.u.
V = 77.36 Å³ per cell
E_tot = -3.72 eV/atom
Formation energy (no corrections) = 2.52 eV/atom

CIF file:
```
data_NaVSN2
_chemical_formula_sum 'Na1 V1 S1 N2'
_symmetry_space_group_name_H-M 'P 4/m m m'
_symmetry_Int_Tables_number 123
_symmetry_space_group_name_Hall '-P 4 2'
_cell_length_a 3.883
_cell_length_b 3.883
_cell_length_c 5.130
_cell_angle_alpha 90.00
_cell_angle_beta 90.00
_cell_angle_gamma 90.00
loop_
_atom_site_label
_atom_site_fract_x
_atom_site_fract_y
_atom_site_fract_z
Na1 0.000 0.000 0.000
V1 0.000 0.000 0.500
S1 0.500 0.500 0.500
N1 0.000 0.500 0.000
```



No. 10
VASP calculation (PBE) on crystalline CsCeIn2Br6 at its relaxed geometry.

Computed properties:
Total magnetic moment = 3.00 μB per cell
Crystal system = trigonal
DOS(E_F) = 8.35 states/eV/f.u.
V = 1320.23 Å³ per cell
E_tot = -3.59 eV/atom
Formation energy (no corrections) = -1.36 eV/atom

CIF file:
```
data_CsCeIn2Br6
_chemical_formula_sum 'Cs3 Ce3 In6 Br18'
_symmetry_space_group_name_H-M 'R 3'
_symmetry_Int_Tables_number 146
_symmetry_space_group_name_Hall 'R 3'
_cell_length_a 8.3390
_cell_length_b 8.3390
_cell_length_c 21.9173
_cell_angle_alpha 90.00
_cell_angle_beta 90.00
_cell_angle_gamma 120.00
loop_
_atom_site_label
_atom_site_fract_x
_atom_site_fract_y
_atom_site_fract_z
Cs1 0.0000 0.0000 0.0000
Ce1 0.0000 0.0000 0.4838
In1 0.0000 0.0000 0.2861
In2 0.0000 0.0000 0.7987
Br1 0.0210 0.3092 0.5528
Br2 0.0395 0.7514 0.3962
```



No. 11
VASP calculation (PBE) on crystalline Rb4Tm3PaTe8 at its relaxed geometry.

Computed properties:
Total magnetic moment = 5.64 μB per cell
Crystal system = trigonal
DOS(E_F) = 11.17 states/eV/f.u.
V = 1795.59 Å³ per cell
E_tot = -4.47 eV/atom
Formation energy (no corrections) = -1.23 eV/atom

CIF file:
```
data_Rb4Tm3PaTe8
_chemical_formula_sum 'Rb12 Tm9 Pa3 Te24'
_symmetry_space_group_name_H-M 'R -3 m'
_symmetry_Int_Tables_number 166
_symmetry_space_group_name_Hall '-R 3 2"'
_cell_length_a 8.9698
_cell_length_b 8.9698
_cell_length_c 25.7694
_cell_angle_alpha 90.00
_cell_angle_beta 90.00
_cell_angle_gamma 120.00
loop_
_atom_site_label
_atom_site_fract_x
_atom_site_fract_y
_atom_site_fract_z
Rb1 0.0000 0.0000 0.0000
Rb2 0.0000 0.5000 0.0000
Tm1 0.0000 0.5000 0.5000
Pa1 0.0000 0.0000 0.5000
Te1 0.0000 0.0000 0.2321
Te2 0.0048 0.5024 0.7666
```



No. 12
VASP calculation (PBE) on crystalline Sm6Cd5Pt at its relaxed geometry.

Computed properties:
Total magnetic moment = 0.00 μB per cell
Crystal system = monoclinic
DOS(E_F) = 9.81 states/eV/f.u.
V = 640.31 Å³ per cell
Formation energy from the elements = -457 meV/atom
E_tot = -3.70 eV/atom

CIF file:
```
data_Sm6Cd5Pt
_chemical_formula_sum 'Sm12 Cd10 Pt2'
_symmetry_space_group_name_H-M 'C 1 2/m 1'
_symmetry_Int_Tables_number 12
_symmetry_space_group_name_Hall '-C 2y'
_cell_length_a 16.724
_cell_length_b 7.627
_cell_length_c 5.288
_cell_angle_alpha 90.00
_cell_angle_beta 108.33
_cell_angle_gamma 90.00
loop_
_atom_site_label
_atom_site_fract_x
_atom_site_fract_y
_atom_site_fract_z
Sm1 0.000 0.227 0.000
Sm2 0.157 0.235 0.657
Cd1 0.000 0.500 0.500
Cd2 0.167 0.500 0.167
Cd3 0.186 0.000 0.186
Pt1 0.000 0.000 0.500
```